No. 1
The following is a PBE-GGA calculation of crystalline NdErNpO6 at its relaxed geometry, from Alexandria. Values from VASP.

Output
The value obtained for the formation energy without anion corrections is -3.203 eV/atom. The value obtained for the spin magnetization is 1.00 μB per formula unit. Its space group is No. 163. The value obtained for the uncorrected energy is -161.7 eV/cell.

Quantum ESPRESSO input file:
```
&SYSTEM
  ibrav = 0, nat = 18, ntyp = 4
/
ATOMIC_SPECIES
Nd 144.24 Nd.upf
Er 167.26 Er.upf
Np 237.00 Np.upf
O 16.00 O.upf
ATOMIC_POSITIONS crystal
Nd 0.000 0.000 0.000
Nd 0.000 0.000 0.500
Er 0.333 0.667 0.250
Er 0.667 0.333 0.750
Np 0.667 0.333 0.250
Np 0.333 0.667 0.750
O 0.659 0.636 0.137
O 0.978 0.341 0.137
O 0.341 0.978 0.637
O 0.022 0.659 0.863
O 0.364 0.341 0.363
O 0.978 0.636 0.363
O 0.636 0.978 0.863
O 0.659 0.022 0.363
O 0.022 0.364 0.637
O 0.364 0.022 0.137
O 0.636 0.659 0.637
O 0.341 0.364 0.863
CELL_PARAMETERS angstrom
5.747 0.000 0.000
-2.874 4.977 0.000
0.000 0.000 9.805
```



No. 2
The following is a PBE-GGA calculation of crystalline NdErNp2Sb4 at its relaxed geometry, from Alexandria. Values from VASP.

Output
The value obtained for the formation energy without anion corrections is -0.655 eV/atom. The value obtained for the spin magnetization is 7.88 μB per formula unit. Its space group is No. 10. The value obtained for the uncorrected energy is -56.9 eV/cell.

Quantum ESPRESSO input file:
```
&SYSTEM
  ibrav = 0, nat = 8, ntyp = 4
/
ATOMIC_SPECIES
Nd 144.24 Nd.upf
Er 167.26 Er.upf
Np 237.00 Np.upf
Sb 121.76 Sb.upf
ATOMIC_POSITIONS crystal
Nd 0.000 0.000 0.000
Er 0.500 0.500 0.000
Np 0.500 0.000 0.500
Np 0.000 0.500 0.500
Sb 0.500 0.257 0.255
Sb 0.500 0.743 0.745
Sb 0.000 0.255 0.749
Sb 0.000 0.745 0.251
CELL_PARAMETERS angstrom
4.409 0.000 0.000
0.000 7.629 0.130
0.000 -2.670 7.214
```



No. 3
The following is a PBE-GGA calculation of crystalline Nd2ErNpSb4 at its relaxed geometry, from Alexandria. Values from VASP.

Output
The value obtained for the formation energy without anion corrections is -0.906 eV/atom. The value obtained for the spin magnetization is 3.89 μB per formula unit. Its space group is No. 10. The value obtained for the uncorrected energy is -50.8 eV/cell.

Quantum ESPRESSO input file:
```
&SYSTEM
  ibrav = 0, nat = 8, ntyp = 4
/
ATOMIC_SPECIES
Nd 144.24 Nd.upf
Er 167.26 Er.upf
Np 237.00 Np.upf
Sb 121.76 Sb.upf
ATOMIC_POSITIONS crystal
Nd 0.500 0.000 0.500
Nd 0.000 0.500 0.500
Er 0.500 0.500 0.000
Np 0.000 0.000 0.000
Sb 0.500 0.248 0.240
Sb 0.500 0.752 0.760
Sb 0.000 0.254 0.761
Sb 0.000 0.746 0.239
CELL_PARAMETERS angstrom
-3.080 -2.599 -1.883
-1.657 -3.027 6.889
-4.464 6.171 -1.215
```



No. 4
The following is a PBE-GGA calculation of crystalline Nd3ErO6 at its relaxed geometry, from Alexandria. Values from VASP.

Output
The value obtained for the formation energy without anion corrections is -3.435 eV/atom. The value obtained for the spin magnetization is 0.00 μB per formula unit. Its space group is No. 148. The value obtained for the uncorrected energy is -165.9 eV/cell.

Quantum ESPRESSO input file:
```
&SYSTEM
  ibrav = 0, nat = 20, ntyp = 3
/
ATOMIC_SPECIES
Nd 144.24 Nd.upf
Er 167.26 Er.upf
O 16.00 O.upf
ATOMIC_POSITIONS crystal
Nd 0.443 0.936 0.748
Nd 0.936 0.748 0.443
Nd 0.252 0.557 0.064
Nd 0.748 0.443 0.936
Nd 0.064 0.252 0.557
Nd 0.557 0.064 0.252
Er 0.000 0.000 0.000
Er 0.500 0.500 0.500
O 0.308 0.911 0.066
O 0.089 0.934 0.692
O 0.596 0.809 0.466
O 0.934 0.692 0.089
O 0.466 0.596 0.809
O 0.191 0.534 0.404
O 0.809 0.466 0.596
O 0.534 0.404 0.191
O 0.066 0.308 0.911
O 0.404 0.191 0.534
O 0.911 0.066 0.308
O 0.692 0.089 0.934
CELL_PARAMETERS angstrom
-1.720 -2.699 6.167
6.737 0.156 1.692
-0.964 6.481 2.312
```



No. 5
The following is a PBE-GGA calculation of crystalline NdErO3 at its relaxed geometry, from Alexandria. Values from VASP.

Output
The value obtained for the formation energy without anion corrections is -3.406 eV/atom. The value obtained for the spin magnetization is 0.00 μB per formula unit. Its space group is No. 11. The value obtained for the uncorrected energy is -82.5 eV/cell.

Quantum ESPRESSO input file:
```
&SYSTEM
  ibrav = 0, nat = 10, ntyp = 3
/
ATOMIC_SPECIES
Nd 144.24 Nd.upf
Er 167.26 Er.upf
O 16.00 O.upf
ATOMIC_POSITIONS crystal
Nd 0.750 0.095 0.601
Nd 0.250 0.441 0.399
Er 0.250 0.704 0.833
Er 0.750 0.833 0.167
O 0.750 0.206 0.382
O 0.750 0.582 0.885
O 0.250 0.954 0.115
O 0.250 0.330 0.618
O 0.250 0.858 0.657
O 0.750 0.678 0.343
CELL_PARAMETERS angstrom
3.907 0.000 0.000
0.000 5.185 -2.481
0.000 -0.313 9.113
```



No. 6
The following is a PBE-GGA calculation of crystalline Nd3Er5O12 at its relaxed geometry, from Alexandria. Values from VASP.

Output
The value obtained for the formation energy without anion corrections is -3.388 eV/atom. The value obtained for the spin magnetization is 0.00 μB per formula unit. Its space group is No. 230. The value obtained for the uncorrected energy is -657.5 eV/cell.

Quantum ESPRESSO input file:
```
&SYSTEM
  ibrav = 0, nat = 80, ntyp = 3
/
ATOMIC_SPECIES
Nd 144.24 Nd.upf
O 16.00 O.upf
Er 167.26 Er.upf
ATOMIC_POSITIONS crystal
Nd 0.750 0.375 0.125
Nd 0.875 0.750 0.125
Nd 0.375 0.750 0.625
Nd 0.250 0.125 0.375
Nd 0.875 0.125 0.250
Nd 0.375 0.625 0.250
Nd 0.625 0.375 0.750
Nd 0.125 0.875 0.750
Nd 0.750 0.875 0.625
Nd 0.625 0.250 0.375
Nd 0.125 0.250 0.875
Nd 0.250 0.625 0.875
O 0.715 0.129 0.040
O 0.325 0.540 0.410
O 0.960 0.371 0.285
O 0.540 0.215 0.129
O 0.586 0.715 0.675
O 0.960 0.590 0.175
O 0.325 0.785 0.414
O 0.090 0.914 0.129
O 0.590 0.960 0.675
O 0.715 0.586 0.175
O 0.785 0.460 0.371
O 0.825 0.910 0.040
O 0.129 0.715 0.540
O 0.371 0.410 0.086
O 0.086 0.910 0.371
O 0.414 0.129 0.590
O 0.086 0.175 0.215
O 0.460 0.675 0.090
O 0.825 0.914 0.285
O 0.129 0.414 0.090
O 0.371 0.960 0.785
O 0.590 0.629 0.414
O 0.910 0.825 0.540
O 0.785 0.325 0.914
O 0.410 0.371 0.586
O 0.090 0.175 0.460
O 0.215 0.675 0.086
O 0.175 0.086 0.715
O 0.629 0.040 0.215
O 0.871 0.586 0.910
O 0.540 0.325 0.910
O 0.586 0.871 0.410
O 0.914 0.825 0.785
O 0.914 0.090 0.629
O 0.871 0.285 0.460
O 0.175 0.090 0.960
O 0.629 0.590 0.914
O 0.410 0.040 0.325
O 0.285 0.414 0.825
O 0.215 0.540 0.629
O 0.910 0.086 0.871
O 0.675 0.215 0.586
O 0.460 0.785 0.871
O 0.040 0.410 0.825
O 0.414 0.285 0.325
O 0.040 0.629 0.715
O 0.675 0.460 0.590
O 0.285 0.871 0.960
Er 0.125 0.375 0.250
Er 0.000 0.500 0.000
Er 0.000 0.000 0.000
Er 0.375 0.250 0.125
Er 0.500 0.000 0.500
Er 0.500 0.500 0.000
Er 0.125 0.750 0.375
Er 0.750 0.125 0.875
Er 0.750 0.625 0.375
Er 0.375 0.125 0.750
Er 0.625 0.875 0.250
Er 0.500 0.500 0.500
Er 0.500 0.000 0.000
Er 0.000 0.000 0.500
Er 0.250 0.375 0.625
Er 0.250 0.875 0.125
Er 0.000 0.500 0.500
Er 0.875 0.250 0.625
Er 0.625 0.750 0.875
Er 0.875 0.625 0.750
CELL_PARAMETERS angstrom
-6.500 1.983 9.603
8.180 -8.106 2.406
5.242 9.995 -3.320
```



No. 7
The following is a PBE-GGA calculation of crystalline NdErO3 at its relaxed geometry, from Alexandria. Values from VASP.

Output
The value obtained for the formation energy without anion corrections is -3.045 eV/atom. The value obtained for the spin magnetization is 0.00 μB per formula unit. Its space group is No. 65. The value obtained for the uncorrected energy is -78.9 eV/cell.

Quantum ESPRESSO input file:
```
&SYSTEM
  ibrav = 0, nat = 10, ntyp = 3
/
ATOMIC_SPECIES
Nd 144.24 Nd.upf
Er 167.26 Er.upf
O 16.00 O.upf
ATOMIC_POSITIONS crystal
Nd 0.000 0.661 0.322
Nd 0.000 0.339 0.678
Er 0.500 0.119 0.238
Er 0.500 0.881 0.762
O 0.500 0.268 0.000
O 0.000 0.834 0.668
O 0.500 0.732 0.000
O 0.500 0.500 0.500
O 0.000 0.166 0.332
O 0.500 0.000 0.500
CELL_PARAMETERS angstrom
4.112 0.000 0.000
0.000 5.885 0.000
0.000 -2.943 6.431
```



No. 8
The following is a PBE-GGA calculation of crystalline Nd2ErO at its relaxed geometry, from Alexandria. Values from VASP.

Output
For the excess energy over the best structure of this formula in the dataset, the calculation gives 0 meV/atom. The value obtained for the formation energy without anion corrections is -1.116 eV/atom. The value obtained for the spin magnetization is 0.00 μB per formula unit. Its space group is No. 166. The value obtained for the uncorrected energy is -23.5 eV/cell.

Quantum ESPRESSO input file:
```
&SYSTEM
  ibrav = 0, nat = 4, ntyp = 3
/
ATOMIC_SPECIES
Nd 144.24 Nd.upf
O 16.00 O.upf
Er 167.26 Er.upf
ATOMIC_POSITIONS crystal
Nd 0.118 0.118 0.646
Nd 0.882 0.882 0.354
O 0.500 0.500 0.500
Er 0.000 0.000 0.000
CELL_PARAMETERS angstrom
-1.550 -0.934 3.150
-3.317 -1.481 0.024
2.144 -9.250 0.408
```



No. 9
The following is a PBE-GGA calculation of crystalline Nd2ErO at its relaxed geometry, from Alexandria. Values from VASP.

Output
For the excess energy over the best structure of this formula in the dataset, the calculation gives 305 meV/atom. The value obtained for the formation energy without anion corrections is -0.811 eV/atom. The value obtained for the spin magnetization is 0.00 μB per formula unit. Its space group is No. 123. The value obtained for the uncorrected energy is -22.3 eV/cell.

Quantum ESPRESSO input file:
```
&SYSTEM
  ibrav = 0, nat = 4, ntyp = 3
/
ATOMIC_SPECIES
Nd 144.24 Nd.upf
O 16.00 O.upf
Er 167.26 Er.upf
ATOMIC_POSITIONS crystal
Nd 0.000 0.000 0.828
Nd 0.000 0.000 0.172
O 0.500 0.500 0.000
Er 0.500 0.500 0.500
CELL_PARAMETERS angstrom
-2.100 1.498 1.990
1.322 -1.535 2.551
5.868 6.817 1.061
```



No. 10
The following is a PBE-GGA calculation of crystalline Nd3ErO at its relaxed geometry, from Alexandria. Values from VASP.

Output
The value obtained for the formation energy without anion corrections is -1.103 eV/atom. The value obtained for the spin magnetization is 0.00 μB per formula unit. Its space group is No. 221. The value obtained for the uncorrected energy is -29.3 eV/cell.

Quantum ESPRESSO input file:
```
&SYSTEM
  ibrav = 0, nat = 5, ntyp = 3
/
ATOMIC_SPECIES
Nd 144.24 Nd.upf
O 16.00 O.upf
Er 167.26 Er.upf
ATOMIC_POSITIONS crystal
Nd 0.000 0.500 0.000
Nd 0.000 0.000 0.500
Nd 0.500 0.000 0.000
O 0.000 0.000 0.000
Er 0.500 0.500 0.500
CELL_PARAMETERS angstrom
-2.933 -3.949 -1.301
3.988 -3.122 0.488
-1.177 -0.739 4.895
```



Which of these has the highest uncorrected energy?
number 9